#a
Computed, not measured: LaPm4Dy3 after structural relaxation at the PBE level of DFT.

Unit cell a=11.651 b=7.359 c=6.355 alpha=90.00 beta=90.00 gamma=90.00
Space group Pmn2_1 (No. 31)
Unique sites:
La1 0.000 0.126 0.000 [2 per cell]
Pm1 0.000 0.375 0.506 [2 per cell]
Pm2 0.000 0.628 0.000 [2 per cell]
Pm3 0.247 0.626 0.337 [4 per cell]
Dy1 0.000 0.876 0.503 [2 per cell]
Dy2 0.249 0.123 0.335 [4 per cell]

Output
Magnetic moment: 0.00 μB/f.u.
Calculated volume: 545 Å³/cell



#b
Computed, not measured: LaPm4Dy3 after structural relaxation at the PBE level of DFT.

Unit cell a=3.495 b=11.794 c=13.107 alpha=90.00 beta=90.00 gamma=90.00
Space group Immm (No. 71)
Unique sites:
La1 0.000 0.000 0.000 [2 per cell]
Pm1 0.000 0.251 0.134 [8 per cell]
Dy1 0.000 0.000 0.500 [2 per cell]
Dy2 0.000 0.500 0.259 [4 per cell]

Output
Magnetic moment: 0.00 μB/f.u.
Calculated volume: 540 Å³/cell



Structures ranked by computed energy, the most stable listed first: #a, #b.



#a
Computed, not measured: LaPm4Dy2 after structural relaxation at the PBE level of DFT.

Unit cell a=5.702 b=5.702 c=16.846 alpha=90.00 beta=90.00 gamma=90.00
Space group I4/mmm (No. 139)
Unique sites:
La1 0.000 0.000 0.000 [2 per cell]
Pm1 0.000 0.000 0.183 [4 per cell]
Pm2 0.000 0.500 0.000 [4 per cell]
Dy1 0.000 0.000 0.389 [4 per cell]

Output
Magnetic moment: 0.00 μB/f.u.
Calculated volume: 548 Å³/cell



#b
Computed, not measured: LaPm4Dy2 after structural relaxation at the PBE level of DFT.

Unit cell a=7.170 b=8.761 c=9.032 alpha=114.52 beta=101.48 gamma=101.78
Space group P1 (No. 1)
Unique sites:
La1 0.000 0.000 0.000 [1 per cell]
La2 0.087 0.763 0.581 [1 per cell]
Pm1 0.195 0.321 0.455 [1 per cell]
Pm2 0.299 0.880 0.292 [1 per cell]
Pm3 0.396 0.440 0.130 [1 per cell]
Pm4 0.501 0.996 0.996 [1 per cell]
Pm5 0.614 0.591 0.859 [1 per cell]
Pm6 0.694 0.320 0.450 [1 per cell]
Pm7 0.894 0.442 0.127 [1 per cell]
Pm8 0.971 0.167 0.718 [1 per cell]
Dy1 0.116 0.592 0.861 [1 per cell]
Dy2 0.476 0.170 0.721 [1 per cell]
Dy3 0.588 0.761 0.580 [1 per cell]
Dy4 0.792 0.879 0.290 [1 per cell]

Output
Magnetic moment: 0.00 μB/f.u.
Calculated volume: 479 Å³/cell



Structures ranked by computed energy, the most stable listed first: #b, #a.



#a
Computed, not measured: La3PmDy7 after structural relaxation at the PBE level of DFT.

Unit cell a=11.725 b=10.134 c=6.428 alpha=90.00 beta=94.47 gamma=90.00
Space group C2/m (No. 12)
Unique sites:
La1 0.000 0.000 0.000 [2 per cell]
La2 0.000 0.179 0.500 [4 per cell]
Pm1 0.000 0.500 0.000 [2 per cell]
Dy1 0.000 0.500 0.500 [2 per cell]
Dy2 0.239 0.000 0.708 [4 per cell]
Dy3 0.241 0.330 0.763 [8 per cell]

Output
Magnetic moment: 0.00 μB/f.u.
Calculated volume: 761 Å³/cell



#b
Computed, not measured: La3PmDy7 after structural relaxation at the PBE level of DFT.

Unit cell a=7.1182 b=7.1182 c=8.8168 alpha=90.00 beta=90.00 gamma=120.00
Space group P3m1 (No. 156)
Unique sites:
La1 0.1670 0.3340 0.0000 [3 per cell]
Pm1 0.0000 0.0000 0.6590 [1 per cell]
Dy1 0.0014 0.5007 0.6589 [3 per cell]
Dy2 0.3325 0.1663 0.3385 [3 per cell]
Dy3 0.3333 0.6667 0.3405 [1 per cell]

Output
Magnetic moment: 0.00 μB/f.u.
Calculated volume: 387 Å³/cell



Structures ranked by computed energy, the most stable listed first: #b, #a.



#a
Computed, not measured: La2PmDy5 after structural relaxation at the PBE level of DFT.

Unit cell a=16.253 b=9.984 c=6.616 alpha=90.00 beta=98.20 gamma=90.00
Space group C2/c (No. 15)
Unique sites:
La1 0.077 0.249 0.110 [8 per cell]
Pm1 0.250 0.250 0.000 [4 per cell]
Dy1 0.000 0.435 0.750 [4 per cell]
Dy2 0.101 0.084 0.650 [8 per cell]
Dy3 0.197 0.409 0.528 [8 per cell]

Output
Magnetic moment: 0.00 μB/f.u.
Calculated volume: 1063 Å³/cell



#b
Computed, not measured: La2PmDy5 after structural relaxation at the PBE level of DFT.

Unit cell a=7.200 b=14.408 c=5.128 alpha=90.00 beta=90.00 gamma=90.00
Space group Pbam (No. 55)
Unique sites:
La1 0.247 0.126 0.000 [4 per cell]
Pm1 0.000 0.500 0.500 [2 per cell]
Dy1 0.000 0.000 0.500 [2 per cell]
Dy2 0.004 0.751 0.500 [4 per cell]
Dy3 0.247 0.375 0.000 [4 per cell]

Output
Magnetic moment: 0.00 μB/f.u.
Calculated volume: 532 Å³/cell



Structures ranked by computed energy, the most stable listed first: #b, #a.